Here is a relaxed structure of Te2AsHI from the Alexandria database. Energies are from PBE-GGA.

Structure (POSCAR):
```
Te2AsHI
1.0
-4.273 0.745 0.024
-0.701 -4.066 1.338
0.463 2.409 7.563
I H As Te
1 1 1 2
Cartesian
0.232 1.204 3.782 I
0.000 0.000 0.000 H
-2.255 -0.456 4.463 As
-0.351 -2.033 0.669 Te
-2.136 0.372 0.012 Te
```

Summary:
D(E_F) = 1.47 states/eV/f.u.
Crystal system = tetragonal
DFT total energy = -2.6041 eV per atom
Magnetization = 1.15 Bohr magnetons per cell
Energy above the lowest structure with this stoichiometry = 0 meV per atom